4
Lattice="1.928 -3.800 0.000 1.928 3.800 0.000 0.000 0.000 9.442" Properties=species:S:1:pos:R:3 comment="CdTe2Cl PBE-GGA optimized geometry" de_polymorph_mev_per_atom=179.4 m_tot_mub_per_cell=0.000 sg="Cmm2 (35)" e_form_raw_ev_per_atom=-0.183 density_g_cm3=4.84 pbc="T T T"
Cd 0.000 0.000 0.000
Te 0.000 0.000 4.350
Te 1.928 0.000 2.234
Cl 1.928 0.000 7.740

---

4
Lattice="6.283 -1.828 0.000 6.283 1.828 0.000 -0.912 0.000 4.980" Properties=species:S:1:pos:R:3 comment="CdTe2Cl PBE-GGA optimized geometry" de_polymorph_mev_per_atom=144.1 m_tot_mub_per_cell=0.000 sg="C2/m (12)" e_form_raw_ev_per_atom=-0.218 density_g_cm3=5.85 pbc="T T T"
Cd 0.000 0.000 0.000
Te 3.039 0.000 4.155
Te 8.615 0.000 0.825
Cl 5.827 0.000 2.490

---

4
Lattice="3.557 0.000 0.000 0.000 3.557 0.000 0.000 0.000 8.960" Properties=species:S:1:pos:R:3 comment="CdTe2Cl PBE-GGA optimized geometry" de_polymorph_mev_per_atom=269.9 m_tot_mub_per_cell=0.000 sg="P4mm (99)" e_form_raw_ev_per_atom=-0.092 density_g_cm3=5.90 pbc="T T T"
Cd 0.000 0.000 0.000
Te 0.000 0.000 4.815
Te 1.779 1.779 6.758
Cl 1.779 1.779 1.426

---

4
Lattice="-1.915 3.695 4.583 1.915 -3.695 4.583 1.915 3.695 -4.583" Properties=species:S:1:pos:R:3 comment="CdTe2Cl PBE-GGA optimized geometry" de_polymorph_mev_per_atom=186.9 m_tot_mub_per_cell=0.000 sg="Imm2 (44)" e_form_raw_ev_per_atom=-0.175 density_g_cm3=5.16 pbc="T T T"
Cd 0.000 0.000 0.000
Te 0.000 0.000 4.741
Te 0.000 3.695 2.315
Cl 1.915 0.000 1.714